Compound: HfCoCuSn2
Source: Alexandria via LeMat-Bulk
Functional: GGA-PBE
Structure: optimized geometry

* formation energy: 1301.1 meV per atom
* magnetic moment: 2.1 μB/f.u.
* space-group type: P4/mmm (123)

Cell lengths 5.4673, 5.4673, 4.8584 Å; angles 90.00, 90.00, 90.00 degrees
Last column: nearest neighbours and their distance in Å.
Positions (direct):
Hf 0.0000 0.0000 0.0000  2 Cu 2.43
Co 0.5000 0.5000 0.5000  8 Sn 3.66, 4 Cu 3.87
Cu 0.0000 0.0000 0.5000  2 Hf 2.43
Sn 0.0000 0.5000 0.0000  2 Hf 2.73
Sn 0.5000 0.0000 0.0000  2 Hf 2.73